Computed, not measured: crystalline ThGeIrN at its relaxed geometry at the GGA-PBE level of DFT.

abc: 4.1555 4.1555 8.4388
angles: 90.00 90.00 90.00
With the nearest neighbours (Å) after each atom.
Atoms (fractional coordinates):
Ge  0.5000  0.0000  0.1602  4 Ir 2.48
Ge  0.0000  0.5000  0.8398  4 Ir 2.48
Ir  0.5000  0.5000  0.0000  4 Ge 2.48
Ir  0.0000  0.0000  0.0000  4 Ge 2.48
Th  0.5000  0.0000  0.6330  4 N 2.36
Th  0.0000  0.5000  0.3670  4 N 2.36
N  0.0000  0.0000  0.5000  4 Th 2.36
N  0.5000  0.5000  0.5000  4 Th 2.36

The value obtained for the volume is 18.215 Å³ per atom. Its uncorrected formation energy is -1.1226 eV/atom.



Computed, not measured: crystalline NaGeIr at its relaxed geometry at the GGA-PBE level of DFT.

abc: 4.1661 4.1661 6.9131
angles: 90.00 90.00 90.00
With the nearest neighbours (Å) after each atom.
Atoms (fractional coordinates):
Ge  0.0000  0.5000  0.3024  4 Ir 2.49
Ge  0.5000  0.0000  0.6976  4 Ir 2.49
Na  0.5000  0.0000  0.1574  5 Ge 3.11-3.18, 4 Ir 3.15
Na  0.0000  0.5000  0.8426  5 Ge 3.11-3.18, 4 Ir 3.15
Ir  0.5000  0.5000  0.5000  4 Ge 2.49
Ir  0.0000  0.0000  0.5000  4 Ge 2.49

The value obtained for the volume is 19.998 Å³ per atom. As for the energy of formation: -0.357 eV per atom.



Computed, not measured: crystalline Na2Ge2Ir at its relaxed geometry at the GGA-PBE level of DFT.

abc: 5.6868 5.4545 7.5871
angles: 111.07 90.00 90.00
With the nearest neighbours (Å) after each atom.
Atoms (fractional coordinates):
Ir  0.5000  0.0000  0.0000  4 Ge 2.52
Ir  0.0000  0.0000  0.0000  4 Ge 2.52
Na  0.7500  0.4176  0.8351  6 Ge 3.06-3.18, 2 Na 3.16, 4 Ir 3.29
Na  0.2500  0.5824  0.1649  6 Ge 3.06-3.18, 2 Na 3.16, 4 Ir 3.29
Na  0.7500  0.8055  0.6110  6 Ge 3.08-3.37, 2 Ir 3.10, 2 Na 3.16
Na  0.2500  0.1945  0.3890  6 Ge 3.08-3.37, 2 Ir 3.10, 2 Na 3.16
Ge  0.2500  0.1383  0.7780  2 Ir 2.52, 2 Ge 2.72-2.74
Ge  0.7500  0.8617  0.2220  2 Ir 2.52, 2 Ge 2.72-2.74
Ge  0.7500  0.3602  0.2220  2 Ir 2.52, 2 Ge 2.72-2.74
Ge  0.2500  0.6398  0.7780  2 Ir 2.52, 2 Ge 2.72-2.74

The value obtained for the volume is 21.961 Å³ per atom. The relative energy among the computed polymorphs comes out at 70 meV/atom. As for the energy of formation: -0.080 eV per atom.



Number 1: calculated total energy -67.428 eV per cell, total moment 0.0 Bohr magnetons per cell. Number 2: calculated total energy -31.738 eV per cell, total moment 0.0 Bohr magnetons per cell. Number 3: calculated total energy -42.269 eV per cell, total moment 0.0 Bohr magnetons per cell.